Density functional theory data (PBE-GGA) for a geometry-optimized AcLuRuPt structure.

a = 5.040 Å, b = 5.040 Å, c = 5.040 Å
α = 60.00°, β = 60.00°, γ = 60.00°
Fractional coordinates of all 4 atoms:
Ac 0.000 0.000 0.000
Lu 0.500 0.500 0.500
Ru 0.250 0.250 0.250
Pt 0.750 0.750 0.750

Results
The value obtained for the total energy is -6.539 eV/atom. As for the symmetry: No. 216.

***

Density functional theory data (PBE-GGA) for a geometry-optimized LaCu4Ag structure.

a = 5.181 Å, b = 5.181 Å, c = 5.181 Å
α = 60.00°, β = 60.00°, γ = 60.00°
Fractional coordinates of all 6 atoms:
La 0.000 0.000 0.000
Cu 0.131 0.623 0.623
Cu 0.623 0.131 0.623
Cu 0.623 0.623 0.131
Cu 0.623 0.623 0.623
Ag 0.250 0.250 0.250

Results
The value obtained for the total energy is -4.193 eV/atom. As for the symmetry: No. 216.

***

Density functional theory data (PBE-GGA) for a geometry-optimized PmTaZn4 structure.

a = 5.309 Å, b = 5.309 Å, c = 5.309 Å
α = 60.00°, β = 60.00°, γ = 60.00°
Fractional coordinates of all 6 atoms:
Pm 0.000 0.000 0.000
Ta 0.250 0.250 0.250
Zn 0.129 0.624 0.624
Zn 0.624 0.129 0.624
Zn 0.624 0.624 0.129
Zn 0.624 0.624 0.624

Results
The value obtained for the total energy is -3.658 eV/atom. As for the symmetry: No. 216.